No. 1
VASP calculation (PBE) on Np2ReRh9 after structural relaxation.

symmetry = P4/mmm (123)
E_form = -0.268 eV per atom

Lattice parameters (Å, degrees): 3.9523 3.9523 12.0539 90.00 90.00 90.00
Site moments in Bohr magnetons follow the coordinates.
Element x y z (fractional)
Np 0.0000 0.0000 0.3332  2.75
Np 0.0000 0.0000 0.6668  2.75
Re 0.0000 0.0000 0.0000  0.14
Rh 0.5000 0.5000 0.0000  -0.08
Rh 0.5000 0.5000 0.3243  -0.36
Rh 0.5000 0.5000 0.6757  -0.36
Rh 0.5000 0.0000 0.1518  -0.18
Rh 0.5000 0.0000 0.5000  -0.39
Rh 0.5000 0.0000 0.8482  -0.18
Rh 0.0000 0.5000 0.1518  -0.18
Rh 0.0000 0.5000 0.5000  -0.39
Rh 0.0000 0.5000 0.8482  -0.18

---

No. 2
VASP calculation (PBE) on NpReRh2 after structural relaxation.

symmetry = P4/mmm (123)
E_form = -0.147 eV per atom

Lattice parameters (Å, degrees): 4.1203 3.9635 3.9635 90.00 90.00 90.00
Site moments in Bohr magnetons follow the coordinates.
Element x y z (fractional)
Np 0.5000 0.0000 0.0000  1.39
Re 0.5000 0.5000 0.5000  -0.31
Rh 0.0000 0.0000 0.5000  -0.12
Rh 0.0000 0.5000 0.0000  -0.12

---

No. 3
VASP calculation (PBE) on NpReRu2 after structural relaxation.

symmetry = P4/mmm (123)
E_form = 0.047 eV per atom

Lattice parameters (Å, degrees): 3.9670 4.0128 4.0128 90.00 90.00 90.00
Site moments in Bohr magnetons follow the coordinates.
Element x y z (fractional)
Np 0.5000 0.5000 0.5000  0.65
Re 0.5000 0.0000 0.0000  -0.07
Ru 0.0000 0.0000 0.5000  -0.08
Ru 0.0000 0.5000 0.0000  -0.08

---

No. 4
VASP calculation (PBE) on NpReRu2 after structural relaxation.

symmetry = R-3m (166)
E_form = 0.168 eV per atom

Lattice parameters (Å, degrees): 2.7608 2.7608 9.7235 81.84 81.84 60.00
Site moments in Bohr magnetons follow the coordinates.
Element x y z (fractional)
Np 0.0000 0.0000 0.0000  2.59
Re 0.5000 0.5000 0.5000  -0.01
Ru 0.7580 0.7580 0.7261  -0.02
Ru 0.2420 0.2420 0.2739  -0.02

---

No. 5
VASP calculation (PBE) on Np2ReRu after structural relaxation.

symmetry = P4/mmm (123)
E_form = 0.215 eV per atom

Lattice parameters (Å, degrees): 3.4168 4.7294 4.7294 90.00 90.00 90.00
Site moments in Bohr magnetons follow the coordinates.
Element x y z (fractional)
Np 0.0000 0.0000 0.5000  3.22
Np 0.0000 0.5000 0.0000  3.22
Re 0.5000 0.5000 0.5000  -0.55
Ru 0.5000 0.0000 0.0000  -0.55

---

No. 6
VASP calculation (PBE) on NpReSi2Ru after structural relaxation.

symmetry = I-4m2 (119)
formation energy without anion corrections = -0.380 eV/atom

Lattice parameters (Å, degrees): 4.1744 4.1744 5.6797 111.56 111.56 90.00
Site moments in Bohr magnetons follow the coordinates.
Element x y z (fractional)
Np 0.0000 0.0000 0.0000  3.58
Re 0.2500 0.7500 0.5000  -0.23
Si 0.6248 0.6248 0.2496  -0.01
Si 0.3752 0.3752 0.7504  -0.01
Ru 0.7500 0.2500 0.5000  -0.19

---

No. 7
VASP calculation (PBE) on NpReS after structural relaxation.

symmetry = P4/nmm (129)
formation energy without anion corrections = -0.391 eV/atom

Lattice parameters (Å, degrees): 3.6838 3.6838 8.1671 90.00 90.00 90.00
Site moments in Bohr magnetons follow the coordinates.
Element x y z (fractional)
Np 0.0000 0.5000 0.6928  -3.38
Np 0.5000 0.0000 0.3072  -3.38
S 0.5000 0.0000 0.6469  0.08
S 0.0000 0.5000 0.3531  0.08
Re 0.0000 0.5000 0.0563  0.12
Re 0.5000 0.0000 0.9437  0.12

---

No. 8
VASP calculation (PBE) on NpRe2S6 after structural relaxation.

symmetry = C2/m (12)
formation energy without anion corrections = -0.455 eV/atom

Lattice parameters (Å, degrees): 4.6145 6.5934 7.0593 74.14 70.92 69.52
Site moments in Bohr magnetons follow the coordinates.
Element x y z (fractional)
Np 0.0000 0.5000 0.5000  3.48
Re 0.1859 0.7361 0.8920  0.12
Re 0.8141 0.2639 0.1080  0.12
S 0.7292 0.6299 0.9117  -0.02
S 0.2708 0.3701 0.0883  -0.02
S 0.9652 0.8743 0.1953  -0.03
S 0.3611 0.7344 0.5435  -0.06
S 0.0348 0.1257 0.8047  -0.03
S 0.6389 0.2656 0.4565  -0.06